[1]
Compound: BaTlAg2
Source: the Alexandria database
Functional: PBEsol
Structure: relaxed

Cell lengths 4.8478, 4.8478, 16.5313 Å; angles 90.00, 90.00, 120.00 degrees
Last column: nearest neighbours and their distance in Å.
Element x y z (fractional)
Ba (0.0000, 0.0000, 0.0000)  8 Ag 3.32-3.55
Ba (0.3333, 0.6667, 0.6667)  8 Ag 3.32-3.55
Ba (0.6667, 0.3333, 0.3333)  8 Ag 3.32-3.55
Tl (0.0000, 0.0000, 0.5000)  6 Ag 2.86
Tl (0.3333, 0.6667, 0.1667)  6 Ag 2.86
Tl (0.6667, 0.3333, 0.8333)  6 Ag 2.86
Ag (0.0000, 0.0000, 0.2008)  3 Tl 2.86, 3 Ag 3.02
Ag (0.0000, 0.0000, 0.7992)  3 Tl 2.86, 3 Ag 3.02
Ag (0.3333, 0.6667, 0.4659)  3 Tl 2.86, 3 Ag 3.02
Ag (0.3333, 0.6667, 0.8674)  3 Tl 2.86, 3 Ag 3.02
Ag (0.6667, 0.3333, 0.1326)  3 Tl 2.86, 3 Ag 3.02
Ag (0.6667, 0.3333, 0.5341)  3 Tl 2.86, 3 Ag 3.02

The calculation puts the total energy at -3.01 eV per atom. The formation energy comes out at -0.6 eV/f.u. For the theoretical density, the calculation gives 8.3 g cm⁻³. The density of states at the Fermi level is 2.62 states/eV/f.u. The magnetic moment is 0.0 Bohr magnetons per cell. As for the crystal system: trigonal.

[2]
Compound: Cr2CdNi
Source: the Alexandria database
Functional: PBEsol
Structure: relaxed

Cell lengths 3.1801, 3.1801, 5.3758 Å; angles 90.00, 90.00, 90.00 degrees
Last column: nearest neighbours and their distance in Å.
Element x y z (fractional)
Cr (0.0000, 0.0000, 0.1796)  1 Cr 1.93
Cr (0.0000, 0.0000, 0.8204)  1 Cr 1.93
Cd (0.5000, 0.5000, 0.5000)  2 Ni 2.69, 8 Cr 2.83
Ni (0.5000, 0.5000, 0.0000)  8 Cr 2.45, 2 Cd 2.69

The calculation puts the total energy at -6.55 eV per atom. The formation energy comes out at 1.6 eV/f.u. For the theoretical density, the calculation gives 8.4 g cm⁻³. The density of states at the Fermi level is 4.78 states/eV/f.u. The magnetic moment is 0.4 Bohr magnetons per cell. As for the crystal system: tetragonal.

[3]
Compound: Eu2GeS4
Source: the Alexandria database
Functional: PBEsol
Structure: relaxed

Cell lengths 6.5527, 6.4894, 7.9262 Å; angles 90.00, 107.92, 90.00 degrees
Last column: nearest neighbours and their distance in Å.
Element x y z (fractional)
Eu (0.2258, 0.2500, 0.0574)  6 S 2.91-2.99
Eu (0.2554, 0.2500, 0.5630)  6 S 2.88-3.01
Eu (0.7446, 0.7500, 0.4370)  6 S 2.88-3.01
Eu (0.7742, 0.7500, 0.9426)  6 S 2.91-2.99
Ge (0.2333, 0.7500, 0.8044)  4 S 2.22
Ge (0.7667, 0.2500, 0.1956)  4 S 2.22
S (0.0010, 0.0087, 0.7435)  1 Ge 2.22
S (0.0010, 0.4913, 0.7435)  1 Ge 2.22
S (0.4144, 0.7500, 0.0916)  1 Ge 2.22
S (0.4204, 0.7500, 0.6137)  1 Ge 2.22
S (0.5796, 0.2500, 0.3863)  1 Ge 2.22
S (0.5856, 0.2500, 0.9084)  1 Ge 2.22
S (0.9990, 0.5087, 0.2565)  1 Ge 2.22
S (0.9990, 0.9913, 0.2565)  1 Ge 2.22

The calculation puts the total energy at -7.63 eV per atom. For the theoretical density, the calculation gives 5.2 g cm⁻³. The density of states at the Fermi level is 32.32 states/eV/f.u. As for the formation energy (no corrections): -1.40 eV/atom. The magnetic moment is 0.1 Bohr magnetons per cell. As for the crystal system: monoclinic.

[4]
Compound: Tc
Source: the Alexandria database
Functional: PBEsol
Structure: relaxed

Cell lengths 5.4709, 5.4709, 5.4709 Å; angles 90.00, 90.00, 90.00 degrees
Last column: nearest neighbours and their distance in Å.
Element x y z (fractional)
Tc (0.1250, 0.1250, 0.1250)  4 Tc 2.37
Tc (0.1250, 0.6250, 0.6250)  4 Tc 2.37
Tc (0.3750, 0.3750, 0.8750)  4 Tc 2.37
Tc (0.3750, 0.8750, 0.3750)  4 Tc 2.37
Tc (0.6250, 0.1250, 0.6250)  4 Tc 2.37
Tc (0.6250, 0.6250, 0.1250)  4 Tc 2.37
Tc (0.8750, 0.3750, 0.3750)  4 Tc 2.37
Tc (0.8750, 0.8750, 0.8750)  4 Tc 2.37

The calculation puts the total energy at -9.65 eV per atom. The formation energy comes out at 1.6 eV/f.u. For the theoretical density, the calculation gives 8.0 g cm⁻³. The density of states at the Fermi level is 0.91 states/eV/f.u. The magnetic moment is 0.0 Bohr magnetons per cell. As for the crystal system: cubic.

[5]
Compound: Ba3Li4Sb4
Source: the Alexandria database
Functional: PBEsol
Structure: relaxed

Cell lengths 9.3405, 9.3405, 9.3405 Å; angles 149.13, 132.21, 57.98 degrees
Last column: nearest neighbours and their distance in Å.
Element x y z (fractional)
Ba (0.0000, 0.0000, 0.0000)  6 Sb 3.43-3.49
Ba (0.3678, 0.8678, 0.5000)  6 Li 3.47-3.48, 6 Sb 3.54-3.59
Ba (0.6322, 0.1322, 0.5000)  6 Li 3.47-3.48, 6 Sb 3.54-3.59
Li (0.0184, 0.3259, 0.6924)  1 Li 2.91, 4 Sb 2.95-2.99
Li (0.3665, 0.6741, 0.6924)  1 Li 2.91, 4 Sb 2.95-2.99
Li (0.6335, 0.3259, 0.3076)  1 Li 2.91, 4 Sb 2.95-2.99
Li (0.9816, 0.6741, 0.3076)  1 Li 2.91, 4 Sb 2.95-2.99
Sb (0.2137, 0.2137, 0.0000)  6 Li 2.95-2.96
Sb (0.3123, 0.5000, 0.8123)  1 Sb 2.84, 2 Li 2.99
Sb (0.6877, 0.5000, 0.1877)  1 Sb 2.84, 2 Li 2.99
Sb (0.7863, 0.7863, 0.0000)  6 Li 2.95-2.96

The calculation puts the total energy at -3.86 eV per atom. For the theoretical density, the calculation gives 5.0 g cm⁻³. The density of states at the Fermi level is 1.78 states/eV/f.u. As for the formation energy (no corrections): -0.90 eV/atom. The magnetic moment is 0.0 Bohr magnetons per cell. As for the crystal system: orthorhombic.

[6]
Compound: TmTaO4
Source: the Alexandria database
Functional: PBEsol
Structure: relaxed

Cell lengths 7.4128, 5.2164, 7.4625 Å; angles 90.00, 97.51, 90.00 degrees
Last column: nearest neighbours and their distance in Å.
Element x y z (fractional)
Tm (0.1440, 0.2220, 0.3877)  6 O 2.17-2.43
Tm (0.1440, 0.2780, 0.8877)  6 O 2.17-2.43
Tm (0.8560, 0.7220, 0.1123)  6 O 2.17-2.43
Tm (0.8560, 0.7780, 0.6123)  6 O 2.17-2.43
Ta (0.3357, 0.7270, 0.1839)  6 O 1.91-2.05
Ta (0.3357, 0.7730, 0.6839)  6 O 1.91-2.05
Ta (0.6643, 0.2270, 0.3161)  6 O 1.91-2.05
Ta (0.6643, 0.2730, 0.8161)  6 O 1.91-2.05
O (0.1078, 0.5079, 0.1689)  1 Ta 2.03, 2 Tm 2.17-2.20
O (0.1078, 0.9921, 0.6689)  1 Ta 2.03, 2 Tm 2.17-2.20
O (0.1715, 0.0039, 0.1164)  1 Ta 1.91
O (0.1715, 0.4961, 0.6164)  1 Ta 1.91
O (0.3315, 0.6184, 0.9328)  2 Ta 1.95-2.03
O (0.3315, 0.8816, 0.4328)  2 Ta 1.95-2.03
O (0.4284, 0.1015, 0.8155)  2 Ta 1.96-2.05
O (0.4284, 0.3985, 0.3155)  2 Ta 1.96-2.05
O (0.5716, 0.6015, 0.6845)  2 Ta 1.96-2.05
O (0.5716, 0.8985, 0.1845)  2 Ta 1.96-2.05
O (0.6685, 0.1184, 0.5672)  2 Ta 1.95-2.03
O (0.6685, 0.3816, 0.0672)  2 Ta 1.95-2.03
O (0.8285, 0.5039, 0.3836)  1 Ta 1.91
O (0.8285, 0.9961, 0.8836)  1 Ta 1.91
O (0.8922, 0.0079, 0.3311)  1 Ta 2.03, 2 Tm 2.17-2.20
O (0.8922, 0.4921, 0.8311)  1 Ta 2.03, 2 Tm 2.17-2.20

The calculation puts the total energy at -9.71 eV per atom. For the theoretical density, the calculation gives 9.6 g cm⁻³. The density of states at the Fermi level is 0.00 states/eV/f.u. As for the formation energy (no corrections): -3.31 eV/atom. The magnetic moment is 0.0 Bohr magnetons per cell. As for the crystal system: monoclinic.

[7]
Compound: Sc2Ir
Source: the Alexandria database
Functional: PBEsol
Structure: relaxed

Cell lengths 4.4603, 4.4603, 3.0664 Å; angles 90.00, 90.00, 120.00 degrees
Last column: nearest neighbours and their distance in Å.
Element x y z (fractional)
Sc (0.3333, 0.6667, 0.3007)  3 Ir 2.74, 3 Sc 2.85
Sc (0.6667, 0.3333, 0.6993)  3 Ir 2.74, 3 Sc 2.85
Ir (0.0000, 0.0000, 0.0000)  6 Sc 2.74

The calculation puts the total energy at -8.27 eV per atom. The formation energy comes out at -1.8 eV/f.u. For the theoretical density, the calculation gives 8.9 g cm⁻³. The density of states at the Fermi level is 3.30 states/eV/f.u. The magnetic moment is 0.0 Bohr magnetons per cell. As for the crystal system: trigonal.

[8]
Compound: NaCoB3
Source: the Alexandria database
Functional: PBEsol
Structure: relaxed

Cell lengths 3.7856, 3.7856, 3.7856 Å; angles 90.00, 90.00, 90.00 degrees
Last column: nearest neighbours and their distance in Å.
Element x y z (fractional)
Na (0.0000, 0.0000, 0.0000)  12 B 2.68
Co (0.5000, 0.5000, 0.5000)  6 B 1.89
B (0.0000, 0.5000, 0.5000)  2 Co 1.89
B (0.5000, 0.0000, 0.5000)  2 Co 1.89
B (0.5000, 0.5000, 0.0000)  2 Co 1.89

The calculation puts the total energy at -5.39 eV per atom. The formation energy comes out at 3.2 eV/f.u. For the theoretical density, the calculation gives 3.5 g cm⁻³. The density of states at the Fermi level is 2.93 states/eV/f.u. The magnetic moment is 0.0 Bohr magnetons per cell. As for the crystal system: cubic.

> Look up the density of states at the Fermi level of the third one.

32.32 states/eV/f.u.

> What is the magnetic moment in the eighth record?

0.0 Bohr magnetons per cell

> The lowest density of states at the Fermi level belongs to which entry?

TmTaO4